Here is an optimized crystal structure of InSbMo2 from Alexandria via LeMat-Bulk. Energies are from PBE.

Summary:
Space group: Cmmm (65)
Polymorph energy (0 for the lowest one), meV/atom: 411.5
Fermi-level density of states, states/eV per atom: 0.92
Formation energy without anion corrections, meV per atom: 558
Magnetization, μB per formula unit: 0.0

Cell: 3.4012 5.0294 8.8888 Å, 90.00 90.00 90.00°
Closest atoms and distances in Å follow each position.
Fractional coordinates of all 8 atoms:
1 In 0.0000 0.0000 0.0000  4 Mo 2.86, 4 In 3.04
2 In 0.5000 0.5000 0.0000  4 Mo 2.86, 4 In 3.04
3 Sb 0.0000 0.0000 0.5000  4 Mo 2.74, 4 Sb 3.04
4 Sb 0.5000 0.5000 0.5000  4 Mo 2.74, 4 Sb 3.04
5 Mo 0.0000 0.5000 0.2590  2 Sb 2.74, 2 In 2.86, 4 Mo 3.04
6 Mo 0.0000 0.5000 0.7410  2 Sb 2.74, 2 In 2.86, 4 Mo 3.04
7 Mo 0.5000 0.0000 0.2590  2 Sb 2.74, 2 In 2.86, 4 Mo 3.04
8 Mo 0.5000 0.0000 0.7410  2 Sb 2.74, 2 In 2.86, 4 Mo 3.04

Here is an optimized crystal structure of InSbMo2 from Alexandria via LeMat-Bulk. Energies are from PBE.

Summary:
Space group: R3m (160)
Polymorph energy (0 for the lowest one), meV/atom: 126.6
Fermi-level density of states, states/eV per atom: 0.65
Formation energy without anion corrections, meV per atom: 273
Magnetization, μB per formula unit: 0.0

Cell: 3.2348 3.2348 26.9936 Å, 90.00 90.00 120.00°
Closest atoms and distances in Å follow each position.
Fractional coordinates of all 12 atoms:
1 In 0.0000 0.0000 0.0000  3 Mo 2.95, 6 In 3.23
2 In 0.3333 0.6667 0.6667  3 Mo 2.95, 6 In 3.23
3 In 0.6667 0.3333 0.3333  3 Mo 2.95, 6 In 3.23
4 Sb 0.0000 0.0000 0.2302  3 Mo 2.84
5 Sb 0.3333 0.6667 0.8969  3 Mo 2.84
6 Sb 0.6667 0.3333 0.5636  3 Mo 2.84
7 Mo 0.0000 0.0000 0.4843  3 Mo 2.59, 3 Sb 2.84
8 Mo 0.0000 0.0000 0.7511  3 Mo 2.59
9 Mo 0.3333 0.6667 0.1510  3 Mo 2.59, 3 Sb 2.84
10 Mo 0.3333 0.6667 0.4177  3 Mo 2.59
11 Mo 0.6667 0.3333 0.0844  3 Mo 2.59
12 Mo 0.6667 0.3333 0.8176  3 Mo 2.59, 3 Sb 2.84

Here is an optimized crystal structure of InSb2Mo from Alexandria via LeMat-Bulk. Energies are from PBE.

Summary:
Space group: Immm (71)
Fermi-level density of states, states/eV per atom: 0.85
Formation energy without anion corrections, meV per atom: 229
Magnetization, μB per formula unit: 0.3

Cell: 3.2449 4.7574 13.0335 Å, 90.00 90.00 90.00°
Closest atoms and distances in Å follow each position.
Fractional coordinates of all 8 atoms:
1 In 0.0000 0.0000 0.0000  4 Mo 2.88
2 In 0.5000 0.5000 0.5000  4 Mo 2.88
3 Sb 0.0000 0.5000 0.1726  2 Mo 2.77
4 Sb 0.0000 0.5000 0.8274  2 Mo 2.77
5 Sb 0.5000 0.0000 0.3274  2 Mo 2.77
6 Sb 0.5000 0.0000 0.6726  2 Mo 2.77
7 Mo 0.0000 0.0000 0.5000  4 Sb 2.77, 4 In 2.88
8 Mo 0.5000 0.5000 0.0000  4 Sb 2.77, 4 In 2.88

Here is an optimized crystal structure of InSbMo from Alexandria via LeMat-Bulk. Energies are from PBE.

Summary:
Space group: F-43m (216)
Polymorph energy (0 for the lowest one), meV/atom: 402.8
Fermi-level density of states, states/eV per atom: 0.98
Formation energy without anion corrections, meV per atom: 524
Magnetization, μB per formula unit: 0.2

Cell: 6.5536 6.5536 6.5536 Å, 90.00 90.00 90.00°
Closest atoms and distances in Å follow each position.
Fractional coordinates of all 12 atoms:
1 In 0.0000 0.0000 0.0000  4 Mo 2.84
2 In 0.0000 0.5000 0.5000  4 Mo 2.84
3 In 0.5000 0.0000 0.5000  4 Mo 2.84
4 In 0.5000 0.5000 0.0000  4 Mo 2.84
5 Sb 0.0000 0.0000 0.5000  4 Mo 2.84
6 Sb 0.0000 0.5000 0.0000  4 Mo 2.84
7 Sb 0.5000 0.0000 0.0000  4 Mo 2.84
8 Sb 0.5000 0.5000 0.5000  4 Mo 2.84
9 Mo 0.2500 0.2500 0.2500  4 In 2.84, 4 Sb 2.84
10 Mo 0.2500 0.7500 0.7500  4 In 2.84, 4 Sb 2.84
11 Mo 0.7500 0.2500 0.7500  4 In 2.84, 4 Sb 2.84
12 Mo 0.7500 0.7500 0.2500  4 In 2.84, 4 Sb 2.84

Here is an optimized crystal structure of InSb2Mo from Alexandria via LeMat-Bulk. Energies are from PBE.

Summary:
Space group: R-3m (166)
Fermi-level density of states, states/eV per atom: 1.04
Formation energy without anion corrections, meV per atom: 133
Magnetization, μB per formula unit: 0.0

Cell: 3.3552 3.3552 30.3732 Å, 90.00 90.00 120.00°
Closest atoms and distances in Å follow each position.
Fractional coordinates of all 12 atoms:
1 In 0.0000 0.0000 0.0000  6 In 3.36, 6 Sb 3.63
2 In 0.3333 0.6667 0.6667  6 In 3.36, 6 Sb 3.63
3 In 0.6667 0.3333 0.3333  6 In 3.36, 6 Sb 3.63
4 Sb 0.0000 0.0000 0.2323  3 Mo 2.78
5 Sb 0.0000 0.0000 0.7677  3 Mo 2.78
6 Sb 0.3333 0.6667 0.4344  3 Mo 2.78
7 Sb 0.3333 0.6667 0.8989  3 Mo 2.78
8 Sb 0.6667 0.3333 0.1011  3 Mo 2.78
9 Sb 0.6667 0.3333 0.5656  3 Mo 2.78
10 Mo 0.0000 0.0000 0.5000  6 Sb 2.78
11 Mo 0.3333 0.6667 0.1667  6 Sb 2.78
12 Mo 0.6667 0.3333 0.8333  6 Sb 2.78

Here is an optimized crystal structure of InSb2Mo from Alexandria via LeMat-Bulk. Energies are from PBE.

Summary:
Space group: F-43m (216)
Fermi-level density of states, states/eV per atom: 0.88
Formation energy without anion corrections, meV per atom: 684
Magnetization, μB per formula unit: 1.8

Cell: 7.1591 7.1591 7.1591 Å, 90.00 90.00 90.00°
Closest atoms and distances in Å follow each position.
Fractional coordinates of all 16 atoms:
1 In 0.0000 0.0000 0.0000  4 Mo 3.10, 4 Sb 3.10
2 In 0.0000 0.5000 0.5000  4 Mo 3.10, 4 Sb 3.10
3 In 0.5000 0.0000 0.5000  4 Mo 3.10, 4 Sb 3.10
4 In 0.5000 0.5000 0.0000  4 Mo 3.10, 4 Sb 3.10
5 Sb 0.0000 0.0000 0.5000  4 Mo 3.10, 4 Sb 3.10
6 Sb 0.0000 0.5000 0.0000  4 Mo 3.10, 4 Sb 3.10
7 Sb 0.2500 0.2500 0.7500  4 In 3.10, 4 Sb 3.10
8 Sb 0.2500 0.7500 0.2500  4 In 3.10, 4 Sb 3.10
9 Sb 0.5000 0.0000 0.0000  4 Mo 3.10, 4 Sb 3.10
10 Sb 0.5000 0.5000 0.5000  4 Mo 3.10, 4 Sb 3.10
11 Sb 0.7500 0.2500 0.2500  4 In 3.10, 4 Sb 3.10
12 Sb 0.7500 0.7500 0.7500  4 In 3.10, 4 Sb 3.10
13 Mo 0.2500 0.2500 0.2500  4 In 3.10, 4 Sb 3.10
14 Mo 0.2500 0.7500 0.7500  4 In 3.10, 4 Sb 3.10
15 Mo 0.7500 0.2500 0.7500  4 In 3.10, 4 Sb 3.10
16 Mo 0.7500 0.7500 0.2500  4 In 3.10, 4 Sb 3.10

Here is an optimized crystal structure of InSbMo2 from Alexandria via LeMat-Bulk. Energies are from PBE.

Summary:
Space group: Cmm2 (35)
Polymorph energy (0 for the lowest one), meV/atom: 224.8
Fermi-level density of states, states/eV per atom: 0.96
Formation energy without anion corrections, meV per atom: 371
Magnetization, μB per formula unit: 0.0

Cell: 3.4246 4.8545 10.0731 Å, 90.00 90.00 90.00°
Closest atoms and distances in Å follow each position.
Fractional coordinates of all 8 atoms:
1 In 0.0000 0.0000 0.0000  4 In 2.97, 2 Mo 2.98
2 In 0.5000 0.5000 0.0000  4 In 2.97, 2 Mo 2.98
3 Sb 0.0000 0.5000 0.3353  2 Mo 2.88, 4 Sb 2.97
4 Sb 0.5000 0.0000 0.3353  2 Mo 2.88, 4 Sb 2.97
5 Mo 0.0000 0.0000 0.5656  2 Mo 2.59, 2 Sb 2.88
6 Mo 0.0000 0.5000 0.7583  2 Mo 2.59
7 Mo 0.5000 0.0000 0.7583  2 Mo 2.59
8 Mo 0.5000 0.5000 0.5656  2 Mo 2.59, 2 Sb 2.88

Here is an optimized crystal structure of InSb2Mo from Alexandria via LeMat-Bulk. Energies are from PBE.

Summary:
Space group: I-4m2 (119)
Fermi-level density of states, states/eV per atom: 0.90
Formation energy without anion corrections, meV per atom: 593
Magnetization, μB per formula unit: 1.7

Cell: 4.3638 4.3638 9.5574 Å, 90.00 90.00 90.00°
Closest atoms and distances in Å follow each position.
Fractional coordinates of all 8 atoms:
1 In 0.0000 0.0000 0.0000  8 Sb 3.09-3.24, 4 Mo 3.24
2 In 0.5000 0.5000 0.5000  8 Sb 3.09-3.24, 4 Mo 3.24
3 Sb 0.0000 0.0000 0.5000  4 In 3.09, 4 Mo 3.24, 4 Sb 3.24
4 Sb 0.0000 0.5000 0.2500  4 Mo 3.09, 4 In 3.24, 4 Sb 3.24
5 Sb 0.5000 0.0000 0.7500  4 Mo 3.09, 4 In 3.24, 4 Sb 3.24
6 Sb 0.5000 0.5000 0.0000  4 In 3.09, 4 Mo 3.24, 4 Sb 3.24
7 Mo 0.0000 0.5000 0.7500  8 Sb 3.09-3.24, 4 In 3.24
8 Mo 0.5000 0.0000 0.2500  8 Sb 3.09-3.24, 4 In 3.24

Here is an optimized crystal structure of InSbMo2 from Alexandria via LeMat-Bulk. Energies are from PBE.

Summary:
Space group: Fm-3m (225)
Polymorph energy (0 for the lowest one), meV/atom: 311.4
Fermi-level density of states, states/eV per atom: 1.09
Formation energy without anion corrections, meV per atom: 457
Magnetization, μB per formula unit: 0.8

Cell: 6.6356 6.6356 6.6356 Å, 90.00 90.00 90.00°
Closest atoms and distances in Å follow each position.
Fractional coordinates of all 16 atoms:
1 In 0.0000 0.0000 0.0000  8 Mo 2.87
2 In 0.0000 0.5000 0.5000  8 Mo 2.87
3 In 0.5000 0.0000 0.5000  8 Mo 2.87
4 In 0.5000 0.5000 0.0000  8 Mo 2.87
5 Sb 0.0000 0.0000 0.5000  8 Mo 2.87
6 Sb 0.0000 0.5000 0.0000  8 Mo 2.87
7 Sb 0.5000 0.0000 0.0000  8 Mo 2.87
8 Sb 0.5000 0.5000 0.5000  8 Mo 2.87
9 Mo 0.2500 0.2500 0.2500  4 In 2.87, 4 Sb 2.87
10 Mo 0.2500 0.2500 0.7500  4 In 2.87, 4 Sb 2.87
11 Mo 0.2500 0.7500 0.2500  4 In 2.87, 4 Sb 2.87
12 Mo 0.2500 0.7500 0.7500  4 In 2.87, 4 Sb 2.87
13 Mo 0.7500 0.2500 0.2500  4 In 2.87, 4 Sb 2.87
14 Mo 0.7500 0.2500 0.7500  4 In 2.87, 4 Sb 2.87
15 Mo 0.7500 0.7500 0.2500  4 In 2.87, 4 Sb 2.87
16 Mo 0.7500 0.7500 0.7500  4 In 2.87, 4 Sb 2.87

Here is an optimized crystal structure of InSb2Mo from Alexandria via LeMat-Bulk. Energies are from PBE.

Summary:
Space group: P2/m (10)
Fermi-level density of states, states/eV per atom: 0.92
Formation energy without anion corrections, meV per atom: 545
Magnetization, μB per formula unit: 0.4

Cell: 4.6508 3.6296 5.8466 Å, 90.00 112.98 90.00°
Closest atoms and distances in Å follow each position.
Fractional coordinates of all 4 atoms:
1 In 0.0000 0.0000 0.0000  6 Sb 2.92-2.95
2 Sb 0.0000 0.0000 0.5000  2 In 2.92, 4 Mo 2.95
3 Sb 0.5000 0.5000 0.0000  2 Mo 2.92, 4 In 2.95
4 Mo 0.5000 0.5000 0.5000  6 Sb 2.92-2.95

Here is an optimized crystal structure of InSb4Mo from Alexandria via LeMat-Bulk. Energies are from PBE.

Summary:
Space group: F-43m (216)
Fermi-level density of states, states/eV per atom: 0.68
Formation energy without anion corrections, meV per atom: 796
Magnetization, μB per formula unit: 4.6

Cell: 6.2513 6.2513 6.2513 Å, 60.00 60.00 60.00°
Closest atoms and distances in Å follow each position.
Fractional coordinates of all 6 atoms:
1 In 0.0000 0.0000 0.0000  12 Sb 3.66, 4 Mo 3.83
2 Sb 0.3747 0.3747 0.3747  6 Sb 3.12-3.13
3 Sb 0.3747 0.3747 0.8760  6 Sb 3.12-3.13
4 Sb 0.3747 0.8760 0.3747  6 Sb 3.12-3.13
5 Sb 0.8760 0.3747 0.3747  6 Sb 3.12-3.13
6 Mo 0.7500 0.7500 0.7500  12 Sb 3.67, 4 In 3.83

Here is an optimized crystal structure of InSbMo2 from Alexandria via LeMat-Bulk. Energies are from PBE.

Summary:
Space group: P4/mmm (123)
Polymorph energy (0 for the lowest one), meV/atom: 277.4
Fermi-level density of states, states/eV per atom: 1.36
Formation energy without anion corrections, meV per atom: 423
Magnetization, μB per formula unit: 0.0

Cell: 3.3139 3.3139 6.7329 Å, 90.00 90.00 90.00°
Closest atoms and distances in Å follow each position.
Fractional coordinates of all 4 atoms:
1 In 0.0000 0.0000 0.0000  8 Mo 2.97, 4 In 3.31
2 Sb 0.0000 0.0000 0.5000  8 Mo 2.80
3 Mo 0.5000 0.5000 0.2717  4 Sb 2.80, 4 In 2.97, 1 Mo 3.07
4 Mo 0.5000 0.5000 0.7283  4 Sb 2.80, 4 In 2.97, 1 Mo 3.07

Question: Which of these has the highest formation energy without anion corrections?
Answer: InSb4Mo

Question: What is the formation energy without anion corrections in the third record?
Answer: 229 meV per atom

Question: Fermi-level density of states of number 1 (InSbMo2)?
Answer: 0.92 states/eV per atom